A plane-wave DFT calculation with PBE was carried out for crystalline ScPaCoPt at its relaxed geometry.

abc: 4.7412 4.7412 4.7412
angles: 60.00 60.00 60.00
Closest atoms and distances in Å follow each position.
Element x y z (fractional)
Sc 0.0000 0.0000 0.0000  4 Pt 2.90, 4 Co 2.90
Pt 0.7500 0.7500 0.7500  4 Pa 2.90, 4 Sc 2.90
Pa 0.5000 0.5000 0.5000  4 Co 2.90, 4 Pt 2.90
Co 0.2500 0.2500 0.2500  4 Pa 2.90, 4 Sc 2.90

Results
total magnetic moment = 0.0 μB per cell
density = 11679 kg/m³
E_form = -540 meV per atom
SG = No. 216
Fermi-level density of states = 1.5253 states/eV/atom

***

A plane-wave DFT calculation with PBE was carried out for crystalline BaGaHg2Sb at its relaxed geometry.

abc: 5.2014 4.8490 6.8622
angles: 110.69 112.27 90.00
Closest atoms and distances in Å follow each position.
Element x y z (fractional)
Sb 0.8277 0.8277 0.6555  3 Hg 2.89-3.01, 2 Ga 3.03
Hg 0.0737 0.0737 0.1474  2 Ga 2.82, 2 Hg 2.87, 1 Sb 2.89
Hg 0.6761 0.1761 0.3523  2 Hg 2.87, 2 Sb 3.01
Ba 0.4386 0.4386 0.8772  8 Hg 3.70-4.03, 4 Ga 3.74-3.99, 4 Sb 3.79
Ga 0.1960 0.6960 0.3920  2 Hg 2.82, 2 Sb 3.03

Results
uncorrected formation energy = -396.3 meV per atom
total magnetic moment = 0.0 μB per cell
density = 8189 kg/m³
energy relative to the lowest polymorph listed for this composition = 0 meV/atom
SG = No. 44
Fermi-level density of states = 0.3646 states/eV/atom